BeZnRu2 after structural relaxation. Source: Alexandria, functional GGA-PBE.

abc: 2.893 4.444 7.984
angles: 90.00 90.00 90.00
Space group Cmmm (No. 65)
Asymmetric unit:
Be (0.000, 0.000, 0.000)
Zn (0.000, 0.000, 0.500)
Ru (0.000, 0.500, 0.226)

Calculated values
Fermi-level density of states ... 8.717 states/eV per cell
Theoretical density ... 8.95 g/cm³
Spin magnetization ... 0.0 μB/f.u.
DFT formation energy ... 0.3 eV per formula unit